[1]
Here is an optimized crystal structure of GaHSe2 from Alexandria. Energies are from PBE.

Summary:
Energy above the lowest structure with this stoichiometry   0.00 eV/f.u.
Mass density   4.0 g/cm3
Uncorrected energy   -0.272 Ry per atom
Space group   Pna2_1

Unit cell a=6.900 b=6.400 c=8.515 alpha=90.00 beta=90.00 gamma=90.00
Positions (direct):
Ga1 0.944 0.959 0.112
Ga2 0.056 0.459 0.888
Ga3 0.556 0.459 0.612
Ga4 0.444 0.959 0.388
H1 0.867 0.121 0.689
H2 0.133 0.621 0.311
H3 0.633 0.621 0.189
H4 0.367 0.121 0.811
Se1 0.593 0.839 0.133
Se2 0.407 0.339 0.867
Se3 0.907 0.339 0.633
Se4 0.093 0.839 0.367
Se5 0.926 0.331 0.128
Se6 0.074 0.831 0.872
Se7 0.574 0.831 0.628
Se8 0.426 0.331 0.372

***

[2]
Here is an optimized crystal structure of LiHoU2N4 from Alexandria. Energies are from PBE.

Summary:
Mass density   10.2 g/cm3
Uncorrected energy   -0.665 Ry per atom
Energy relative to the elements, uncorrected   -1.2480 eV/atom
Space group   P2/m

Unit cell a=3.469 b=5.927 c=5.859 alpha=108.74 beta=90.00 gamma=90.00
Positions (direct):
Li1 0.500 0.500 0.000
Ho1 0.000 0.000 0.000
U1 0.500 0.000 0.500
U2 0.000 0.500 0.500
N1 0.500 0.249 0.263
N2 0.500 0.751 0.737
N3 0.000 0.222 0.709
N4 0.000 0.778 0.291

***

[3]
Here is an optimized crystal structure of ThSc3Sn3 from Alexandria. Energies are from PBE.

Summary:
Mass density   6.8 g/cm3
Uncorrected energy   -0.439 Ry per atom
Energy of formation   -47 kJ per mole of atoms
Space group   P6_3/m

Unit cell a=5.219 b=8.840 c=8.840 alpha=120.00 beta=90.00 gamma=90.00
Positions (direct):
Th1 0.250 0.667 0.333
Th2 0.750 0.333 0.667
Sc1 0.250 0.778 0.767
Sc2 0.250 0.233 0.012
Sc3 0.250 0.988 0.222
Sc4 0.750 0.222 0.233
Sc5 0.750 0.767 0.988
Sc6 0.750 0.012 0.778
Sn1 0.750 0.638 0.564
Sn2 0.750 0.436 0.074
Sn3 0.750 0.926 0.362
Sn4 0.250 0.362 0.436
Sn5 0.250 0.564 0.926
Sn6 0.250 0.074 0.638

***

[4]
Here is an optimized crystal structure of SrCu4Pd3O12 from Alexandria. Energies are from PBE.

Summary:
Mass density   6.7 g/cm3
Uncorrected energy   -0.388 Ry per atom
Energy relative to the elements, uncorrected   -0.6160 eV/atom
Space group   Im-3

Unit cell a=6.508 b=6.508 c=6.508 alpha=109.47 beta=109.47 gamma=109.47
Positions (direct):
Sr1 0.000 0.000 0.000
Cu1 0.500 0.000 0.000
Cu2 0.500 0.500 0.500
Cu3 0.000 0.500 0.000
Cu4 0.000 0.000 0.500
Pd1 0.000 0.500 0.500
Pd2 0.500 0.500 0.000
Pd3 0.500 0.000 0.500
O1 0.310 0.815 0.126
O2 0.690 0.185 0.874
O3 0.690 0.815 0.505
O4 0.874 0.690 0.185
O5 0.815 0.126 0.310
O6 0.185 0.495 0.310
O7 0.495 0.310 0.185
O8 0.185 0.874 0.690
O9 0.310 0.185 0.495
O10 0.126 0.310 0.815
O11 0.815 0.505 0.690
O12 0.505 0.690 0.815

***

[5]
Here is an optimized crystal structure of Pm3Si4Ge4 from Alexandria. Energies are from PBE.

Summary:
Mass density   6.0 g/cm3
Uncorrected energy   -0.398 Ry per atom
Energy relative to the elements, uncorrected   -0.4658 eV/atom
Space group   P-1

Unit cell a=4.145 b=3.948 c=14.454 alpha=82.13 beta=81.35 gamma=89.95
Positions (direct):
Pm1 0.131 0.627 0.747
Pm2 0.869 0.373 0.253
Pm3 0.000 0.000 0.000
Si1 0.546 0.541 0.917
Si2 0.454 0.459 0.083
Si3 0.848 0.793 0.414
Si4 0.152 0.207 0.586
Ge1 0.594 0.093 0.814
Ge2 0.283 0.291 0.415
Ge3 0.717 0.709 0.585
Ge4 0.406 0.907 0.186

***

[6]
Here is an optimized crystal structure of PmScAlGe from Alexandria. Energies are from PBE.

Summary:
Mass density   5.4 g/cm3
Uncorrected energy   -0.388 Ry per atom
Energy of formation   -40 kJ per mole of atoms
Space group   F-43m

Unit cell a=5.016 b=5.016 c=5.016 alpha=60.00 beta=60.00 gamma=60.00
Positions (direct):
Sc1 0.000 0.000 0.000
Ge1 0.250 0.250 0.250
Al1 0.750 0.750 0.750
Pm1 0.500 0.500 0.500

***

[7]
Here is an optimized crystal structure of NaPrPa4N8 from Alexandria. Energies are from PBE.

Summary:
Mass density   8.4 g/cm3
Uncorrected energy   -0.682 Ry per atom
Energy relative to the elements, uncorrected   -1.3789 eV/atom
Space group   R3m

Unit cell a=7.110 b=7.110 c=6.782 alpha=58.39 beta=58.39 gamma=60.00
Positions (direct):
Na1 0.001 0.001 0.998
Pr1 0.380 0.380 0.860
Pa1 0.606 0.606 0.183
Pa2 0.999 0.496 0.506
Pa3 0.496 0.999 0.506
Pa4 0.999 0.999 0.506
N1 0.260 0.795 0.686
N2 0.795 0.260 0.686
N3 0.260 0.260 0.686
N4 0.232 0.232 0.303
N5 0.746 0.229 0.280
N6 0.229 0.746 0.280
N7 0.746 0.746 0.280
N8 0.753 0.753 0.741

***

[8]
Here is an optimized crystal structure of HgSb2Ru from Alexandria. Energies are from PBE.

Summary:
Mass density   9.6 g/cm3
Uncorrected energy   -0.322 Ry per atom
Energy relative to the elements, uncorrected   0.0770 eV/atom
Space group   R-3m

Unit cell a=8.729 b=8.729 c=8.729 alpha=23.70 beta=23.70 gamma=23.70
Positions (direct):
Hg1 0.750 0.750 0.750
Ru1 0.250 0.250 0.250
Sb1 0.984 0.984 0.984
Sb2 0.516 0.516 0.516

***

[9]
Here is an optimized crystal structure of CuTe2 from Alexandria. Energies are from PBE.

Summary:
Mass density   6.3 g/cm3
Uncorrected energy   -0.253 Ry per atom
Energy relative to the elements, uncorrected   0.0229 eV/atom
Space group   P4/nmm

Unit cell a=4.582 b=4.582 c=8.045 alpha=90.00 beta=90.00 gamma=90.00
Positions (direct):
Cu1 0.250 0.250 0.827
Cu2 0.750 0.750 0.173
Te1 0.750 0.250 0.000
Te2 0.250 0.750 0.000
Te3 0.250 0.250 0.511
Te4 0.750 0.750 0.489

***

[10]
Here is an optimized crystal structure of Cs2BaTiIr from Alexandria. Energies are from PBE.

Summary:
Mass density   3.5 g/cm3
Uncorrected energy   -0.197 Ry per atom
Energy of formation   134 kJ per mole of atoms
Space group   P4/mmm

Unit cell a=7.557 b=5.295 c=7.557 alpha=90.00 beta=90.00 gamma=90.00
Positions (direct):
Cs1 0.000 0.000 0.500
Cs2 0.500 0.000 0.000
Ir1 0.000 0.500 0.000
Ba1 0.000 0.000 0.000
Ti1 0.500 0.500 0.500

***

[11]
Here is an optimized crystal structure of Ac3Al4Hg4 from Alexandria. Energies are from PBE.

Summary:
Energy above the lowest structure with this stoichiometry   0.00 eV/f.u.
Mass density   8.9 g/cm3
Uncorrected energy   -0.219 Ry per atom
Energy of formation   -38 kJ per mole of atoms
Space group   P-1

Unit cell a=4.653 b=4.725 c=13.862 alpha=80.24 beta=80.29 gamma=90.01
Positions (direct):
Ac1 0.150 0.651 0.699
Ac2 0.850 0.349 0.301
Ac3 0.000 0.000 0.000
Al1 0.548 0.548 0.903
Al2 0.452 0.452 0.097
Al3 0.305 0.805 0.389
Al4 0.695 0.195 0.611
Hg1 0.597 0.096 0.808
Hg2 0.251 0.251 0.499
Hg3 0.749 0.749 0.501
Hg4 0.403 0.904 0.192

***

[12]
Here is an optimized crystal structure of Sc4GaRuO from Alexandria. Energies are from PBE.

Summary:
Mass density   4.8 g/cm3
Uncorrected energy   -0.525 Ry per atom
Energy relative to the elements, uncorrected   -1.0619 eV/atom
Space group   Cmcm

Unit cell a=5.954 b=5.994 c=7.745 alpha=90.00 beta=112.60 gamma=90.00
Positions (direct):
Sc1 0.919 0.250 0.839
Sc2 0.437 0.750 0.875
Sc3 0.081 0.750 0.161
Sc4 0.563 0.250 0.125
Sc5 0.500 0.500 0.500
Sc6 0.000 0.000 0.500
Sc7 0.500 0.000 0.500
Sc8 0.000 0.500 0.500
Ga1 0.113 0.250 0.226
Ga2 0.887 0.750 0.774
Ru1 0.616 0.750 0.231
Ru2 0.384 0.250 0.769
O1 0.241 0.750 0.482
O2 0.759 0.250 0.518